VASP calculation (GGA-PBE) on a relaxed Pr2YBi2O2 crystal.

* formation energy (no corrections): -179 kJ/mol of atoms
* N(E_F): 6.52 states/eV per cell
* spin magnetization: 0.00 μB per formula unit

a = 4.4266 Å, b = 4.4266 Å, c = 16.9471 Å
α = 90.00°, β = 90.00°, γ = 90.00°
Space group I4/mmm (No. 139)
Symmetry-distinct sites (fractional):
Pr (0.0000, 0.0000, 0.1099) x4
Y (0.0000, 0.0000, 0.5000) x2
Bi (0.0000, 0.0000, 0.3095) x4
O (0.0000, 0.5000, 0.0000) x4

---

VASP calculation (GGA-PBE) on a relaxed Bi4Pt6O19 crystal.

* formation energy (no corrections): -69 kJ/mol of atoms
* N(E_F): 27.20 states/eV per cell
* spin magnetization: 0.00 μB per formula unit

a = 9.1050 Å, b = 9.1050 Å, c = 9.1050 Å
α = 90.00°, β = 90.00°, γ = 90.00°
Space group I23 (No. 197)
Symmetry-distinct sites (fractional):
Bi (0.1556, 0.1556, 0.1556) x8
Pt (0.0000, 0.1591, 0.5000) x12
O (0.0000, 0.0000, 0.0000) x2
O (0.0000, 0.0000, 0.3365) x12
O (0.0222, 0.2835, 0.6771) x24

---

VASP calculation (GGA-PBE) on a relaxed Bi2PtO6 crystal.

* distance to the lowest polymorph of the same formula: 144 meV/atom
* formation energy (no corrections): -57 kJ/mol of atoms
* N(E_F): 12.04 states/eV per cell
* spin magnetization: 0.00 μB per formula unit

a = 3.8709 Å, b = 5.3968 Å, c = 11.2921 Å
α = 90.00°, β = 90.00°, γ = 90.00°
Space group Immm (No. 71)
Symmetry-distinct sites (fractional):
Bi (0.0000, 0.0000, 0.1630) x4
Pt (0.0000, 0.0000, 0.5000) x2
O (0.0000, 0.2379, 0.3543) x8
O (0.0000, 0.2851, 0.0000) x4

---

VASP calculation (GGA-PBE) on a relaxed BiPtO4 crystal.

* distance to the lowest polymorph of the same formula: 31 meV/atom
* formation energy (no corrections): -65 kJ/mol of atoms
* N(E_F): 10.10 states/eV per cell
* spin magnetization: 0.00 μB per formula unit

a = 6.9371 Å, b = 6.9371 Å, c = 6.7483 Å
α = 90.00°, β = 90.00°, γ = 90.00°
Space group I4_1md (No. 109)
Symmetry-distinct sites (fractional):
Bi (0.0000, 0.0000, 0.0000) x4
Pt (0.0000, 0.0000, 0.4967) x4
O (0.0000, 0.1851, 0.2705) x8
O (0.0000, 0.1989, 0.7339) x8

---

VASP calculation (GGA-PBE) on a relaxed BiPt3O8 crystal.

* distance to the lowest polymorph of the same formula: 0 meV/atom
* formation energy (no corrections): -59 kJ/mol of atoms
* N(E_F): 7.45 states/eV per cell
* spin magnetization: 0.00 μB per formula unit

a = 6.3009 Å, b = 6.3009 Å, c = 9.8904 Å
α = 90.00°, β = 90.00°, γ = 120.00°
Space group P6_3mc (No. 186)
Symmetry-distinct sites (fractional):
Bi (0.3333, 0.6667, 0.0000) x2
Pt (0.1674, 0.3349, 0.7107) x6
O (0.0000, 0.0000, 0.3076) x2
O (0.0361, 0.5181, 0.8192) x6
O (0.1465, 0.2931, 0.1001) x6
O (0.3333, 0.6667, 0.6121) x2

---

VASP calculation (GGA-PBE) on a relaxed Bi2PtO6 crystal.

* distance to the lowest polymorph of the same formula: 0 meV/atom
* formation energy (no corrections): -71 kJ/mol of atoms
* N(E_F): 9.74 states/eV per cell
* spin magnetization: 0.00 μB per formula unit

a = 9.7637 Å, b = 3.3436 Å, c = 7.8000 Å
α = 90.00°, β = 94.34°, γ = 90.00°
Space group C2/m (No. 12)
Symmetry-distinct sites (fractional):
Bi (0.2348, 0.0000, 0.2992) x4
Pt (0.0000, 0.5000, 0.0000) x2
O (0.0734, 0.5000, 0.2420) x4
O (0.1214, 0.0000, 0.9674) x4
O (0.1540, 0.0000, 0.5581) x4